# 1
## V2IrS4 (PBE)

Data for a geometry-optimized V2IrS4 structure.

Cell lengths 6.9686, 6.9686, 6.9609 Å; angles 119.91, 119.91, 90.13 degrees
With the nearest neighbours (Å) after each atom.
Fractional positions:
V 0.0000 0.0000 0.0000  6 S 2.40
V 0.0000 0.0000 0.5000  6 S 2.40
V 0.0000 0.5000 0.0000  6 S 2.40
V 0.5000 0.0000 0.5000  6 S 2.40
Ir 0.3752 0.6248 0.7500  4 S 2.25
Ir 0.6248 0.3752 0.2500  4 S 2.25
S 0.2292 0.2436 0.9860  1 Ir 2.25, 3 V 2.40
S 0.2426 0.7565 0.4861  1 Ir 2.25, 3 V 2.40
S 0.2436 0.2292 0.4860  1 Ir 2.25, 3 V 2.40
S 0.2435 0.7574 0.0139  1 Ir 2.25, 3 V 2.40
S 0.7565 0.2426 0.9861  1 Ir 2.25, 3 V 2.40
S 0.7564 0.7708 0.5140  1 Ir 2.25, 3 V 2.40
S 0.7574 0.2435 0.5139  1 Ir 2.25, 3 V 2.40
S 0.7708 0.7564 0.0140  1 Ir 2.25, 3 V 2.40

Calculated values
Symmetry: C2/c
Total magnetic moment (μB per atom): 0.23
N(E_F) (states/eV/cell): 10.069



# 2
## TaSiTe (PBE)

Data for a geometry-optimized TaSiTe structure.

Cell lengths 5.2126, 5.2126, 5.2126 Å; angles 140.86, 140.86, 56.55 degrees
With the nearest neighbours (Å) after each atom.
Fractional positions:
Ta 0.0000 0.0000 0.0000  4 Si 2.73, 5 Te 2.90-2.99
Si 0.6266 0.6266 0.0000  4 Ta 2.73, 5 Te 2.85-3.02
Te 0.3159 0.3159 0.0000  5 Si 2.85-3.02, 5 Ta 2.90-2.99

Calculated values
Symmetry: I4mm
Total magnetic moment (μB per atom): 0.00
N(E_F) (states/eV/cell): 1.204



These records have uncorrected energy values of -6.790, -6.740 eV per atom, in the order they appear.